No. 1
The following is a DFT calculation (PBE-GGA) of an optimized crystal structure of BaPb.

The formation energy is -0.385 eV/atom. As for the volume: 47.25 A^3/atom.

It has space group P6_3/mmc (No. 194), with a = 11.4735 Å, b = 11.4735 Å, c = 4.9739 Å, α = 90.00°, β = 90.00° and γ = 120.00°. The inequivalent atoms are Ba at (0.1865, 0.3731, 0.2500) and Pb at (0.1024, 0.5512, 0.7500).

No. 2
The following is a DFT calculation (PBE-GGA) of an optimized crystal structure of BaPb.

The formation energy is -0.238 eV/atom. As for the volume: 39.13 A^3/atom.

It has space group Fd-3m (No. 227, origin choice 2), with a = 8.555 Å, b = 8.555 Å, c = 8.555 Å, α = 90.00°, β = 90.00° and γ = 90.00°. The inequivalent atoms are Ba at (0.125, 0.125, 0.125) and Pb at (0.125, 0.125, 0.625).